Density functional theory data (PBE) for a relaxed NaHo2Ga crystal.

Geometry as POSCAR:
```
NaHo2Ga
1.0
-2.319 -1.085 -2.379
-0.885 -2.666 2.078
-6.435 5.182 3.910
Na Ho Ga
1 2 1
Direct
0.500 0.500 0.500
0.000 0.000 0.195
0.000 0.000 0.805
0.500 0.500 0.000
```

Properties
Space group: No. 123
Energy of formation from the pure elements: -151 meV per atom

***

Density functional theory data (PBE) for a relaxed NaHo2Ga crystal.

Geometry as POSCAR:
```
NaHo2Ga
1.0
3.535 0.000 0.000
1.768 3.062 0.000
1.768 1.021 11.294
Na Ga Ho
1 1 2
Direct
0.000 0.000 0.000
0.500 0.500 0.500
0.896 0.896 0.312
0.104 0.104 0.688
```

Properties
Space group: No. 166
Energy of formation from the pure elements: -35 meV per atom

***

Density functional theory data (PBE) for a relaxed NaNdHoGa crystal.

Geometry as POSCAR:
```
NaNdHoGa
1.0
5.299 0.000 0.000
2.649 4.589 0.000
2.649 1.530 4.327
Na Ga Ho Nd
1 1 1 1
Direct
0.750 0.750 0.750
0.250 0.250 0.250
0.500 0.500 0.500
0.000 0.000 0.000
```

Properties
Space group: No. 216
Energy of formation from the pure elements: -127 meV per atom

***

Density functional theory data (PBE) for a relaxed NaHo2GaO5 crystal.

Geometry as POSCAR:
```
NaHo2GaO5
1.0
-2.024 -5.149 -1.317
4.898 -2.732 3.156
-3.490 -0.011 5.407
Ho O Ga Na
4 10 2 2
Direct
0.500 0.322 0.822
0.500 0.822 0.678
0.500 0.178 0.322
0.500 0.678 0.178
0.244 0.639 0.861
0.756 0.861 0.361
0.500 0.500 0.500
0.500 0.000 0.000
0.756 0.139 0.639
0.244 0.361 0.139
0.756 0.361 0.139
0.244 0.139 0.639
0.244 0.861 0.361
0.756 0.639 0.861
0.000 0.500 0.000
0.000 0.000 0.500
0.000 0.500 0.500
0.000 0.000 0.000
```

Properties
E_form (uncorrected): -23.45 eV per formula unit
Space group: No. 127

***

Density functional theory data (PBE) for a relaxed Na2HoGaO4 crystal.

Geometry as POSCAR:
```
Na2HoGaO4
1.0
-1.617 2.541 -1.221
-3.292 0.042 4.443
4.610 3.436 1.047
O Na Ga Ho
4 2 1 1
Direct
0.000 0.243 0.792
0.000 0.757 0.208
0.500 0.217 0.205
0.500 0.783 0.795
0.500 0.000 0.500
0.000 0.500 0.500
0.000 0.000 0.000
0.500 0.500 0.000
```

Properties
E_form (uncorrected): -17.87 eV per formula unit
Space group: No. 10

***

Density functional theory data (PBE) for a relaxed Na3Ho2GaO6 crystal.

Geometry as POSCAR:
```
Na3Ho2GaO6
1.0
-0.452 -5.359 1.870
0.194 1.067 -5.589
5.620 0.977 1.328
O Na Ho Ga
6 3 2 1
Direct
0.932 0.620 0.792
0.243 0.243 0.796
0.757 0.757 0.204
0.620 0.932 0.792
0.380 0.068 0.208
0.068 0.380 0.208
0.843 0.157 0.500
0.157 0.843 0.500
0.500 0.500 0.500
0.667 0.333 0.000
0.333 0.667 0.000
0.000 0.000 0.000
```

Properties
E_form (uncorrected): -29.14 eV per formula unit
Space group: No. 12

***

Repeat the first record exactly.
Density functional theory data (PBE) for a relaxed NaHo2Ga crystal.

Geometry as POSCAR:
```
NaHo2Ga
1.0
-2.319 -1.085 -2.379
-0.885 -2.666 2.078
-6.435 5.182 3.910
Na Ho Ga
1 2 1
Direct
0.500 0.500 0.500
0.000 0.000 0.195
0.000 0.000 0.805
0.500 0.500 0.000
```

Properties
Space group: No. 123
Energy of formation from the pure elements: -151 meV per atom